# Tb2CeHg6, relaxed, DFT PBE-GGA
# Fermi-level density of states in states/eV per cell: 10.62
# Total magnetic moment in μB/f.u.: 1.24
# Formation enthalpy at 0 K in meV per atom: -379
# E_tot in eV per atom: -2.269
data_Tb2CeHg6
_cell_length_a 8.6855
_cell_length_b 8.6855
_cell_length_c 3.4195
_cell_angle_alpha 90.00
_cell_angle_beta 90.00
_cell_angle_gamma 120.00
_space_group_name_H-M_alt 'P 6/m m m'
_space_group_IT_number 191
_space_group_name_Hall '-P 6 2'
loop_
_atom_site_label
_atom_site_type_symbol
_atom_site_fract_x
_atom_site_fract_y
_atom_site_fract_z
Tb1 Tb 0.3333 0.6667 0.0000
Ce1 Ce 0.0000 0.0000 0.0000
Hg1 Hg 0.0000 0.3354 0.5000

***

# TbCeThHg, relaxed, DFT PBE-GGA
# Fermi-level density of states in states/eV per cell: 34.02
# Total magnetic moment in μB/f.u.: 0.00
# Formation enthalpy at 0 K in meV per atom: 42
# E_tot in eV per atom: -4.529
data_TbCeThHg
_cell_length_a 7.681
_cell_length_b 7.681
_cell_length_c 7.681
_cell_angle_alpha 90.00
_cell_angle_beta 90.00
_cell_angle_gamma 90.00
_space_group_name_H-M_alt 'F -4 3 m'
_space_group_IT_number 216
_space_group_name_Hall 'F -4 2 3'
loop_
_atom_site_label
_atom_site_type_symbol
_atom_site_fract_x
_atom_site_fract_y
_atom_site_fract_z
Tb1 Tb 0.000 0.000 0.000
Ce1 Ce 0.000 0.000 0.500
Th1 Th 0.250 0.250 0.750
Hg1 Hg 0.250 0.250 0.250

***

# TbCeZnHg, relaxed, DFT PBE-GGA
# Fermi-level density of states in states/eV per cell: 40.27
# Total magnetic moment in μB/f.u.: 1.70
# Formation enthalpy at 0 K in meV per atom: -291
# ΔE to the lowest computed polymorph in eV/atom: 0.0273
# E_tot in eV per atom: -3.326
data_TbCeZnHg
_cell_length_a 7.422
_cell_length_b 7.422
_cell_length_c 7.422
_cell_angle_alpha 90.00
_cell_angle_beta 90.00
_cell_angle_gamma 90.00
_space_group_name_H-M_alt 'F -4 3 m'
_space_group_IT_number 216
_space_group_name_Hall 'F -4 2 3'
loop_
_atom_site_label
_atom_site_type_symbol
_atom_site_fract_x
_atom_site_fract_y
_atom_site_fract_z
Tb1 Tb 0.000 0.000 0.000
Ce1 Ce 0.000 0.000 0.500
Zn1 Zn 0.250 0.250 0.250
Hg1 Hg 0.250 0.250 0.750

***

# TbCeZnHg, relaxed, DFT PBE-GGA
# Fermi-level density of states in states/eV per cell: 9.14
# Total magnetic moment in μB/f.u.: 1.25
# Formation enthalpy at 0 K in meV per atom: -318
# ΔE to the lowest computed polymorph in eV/atom: 0.0000
# E_tot in eV per atom: -3.353
data_TbCeZnHg
_cell_length_a 3.622
_cell_length_b 3.622
_cell_length_c 7.673
_cell_angle_alpha 90.00
_cell_angle_beta 90.00
_cell_angle_gamma 90.00
_space_group_name_H-M_alt 'P 4 m m'
_space_group_IT_number 99
_space_group_name_Hall 'P 4 -2'
loop_
_atom_site_label
_atom_site_type_symbol
_atom_site_fract_x
_atom_site_fract_y
_atom_site_fract_z
Tb1 Tb 0.000 0.000 0.000
Ce1 Ce 0.000 0.000 0.534
Zn1 Zn 0.500 0.500 0.779
Hg1 Hg 0.500 0.500 0.251

***

# TbCe2Zn2Hg2, relaxed, DFT PBE-GGA
# Fermi-level density of states in states/eV per cell: 28.28
# Total magnetic moment in μB/f.u.: 1.28
# Formation enthalpy at 0 K in meV per atom: -264
# E_tot in eV per atom: -3.071
data_TbCe2Zn2Hg2
_cell_length_a 4.5580
_cell_length_b 4.5580
_cell_length_c 26.9829
_cell_angle_alpha 90.00
_cell_angle_beta 90.00
_cell_angle_gamma 120.00
_space_group_name_H-M_alt 'R -3 m'
_space_group_IT_number 166
_space_group_name_Hall '-R 3 2"'
loop_
_atom_site_label
_atom_site_type_symbol
_atom_site_fract_x
_atom_site_fract_y
_atom_site_fract_z
Tb1 Tb 0.0000 0.0000 0.0000
Ce1 Ce 0.0000 0.0000 0.1420
Zn1 Zn 0.0000 0.0000 0.4101
Hg1 Hg 0.0000 0.0000 0.2669

***

# Ce3TcHg, relaxed, DFT PBE-GGA
# Fermi-level density of states in states/eV per cell: 17.14
# Total magnetic moment in μB/f.u.: 1.82
# Formation enthalpy at 0 K in meV per atom: -21
# ΔE to the lowest computed polymorph in eV/atom: 0.1191
# E_tot in eV per atom: -5.714
data_Ce3TcHg
_cell_length_a 5.292
_cell_length_b 5.292
_cell_length_c 5.292
_cell_angle_alpha 90.00
_cell_angle_beta 90.00
_cell_angle_gamma 90.00
_space_group_name_H-M_alt 'P m -3 m'
_space_group_IT_number 221
_space_group_name_Hall '-P 4 2 3'
loop_
_atom_site_label
_atom_site_type_symbol
_atom_site_fract_x
_atom_site_fract_y
_atom_site_fract_z
Ce1 Ce 0.000 0.000 0.500
Tc1 Tc 0.000 0.000 0.000
Hg1 Hg 0.500 0.500 0.500

***

# Ce3TcHg, relaxed, DFT PBE-GGA
# Fermi-level density of states in states/eV per cell: 23.26
# Total magnetic moment in μB/f.u.: 1.34
# Formation enthalpy at 0 K in meV per atom: -140
# ΔE to the lowest computed polymorph in eV/atom: 0.0000
# E_tot in eV per atom: -5.834
data_Ce3TcHg
_cell_length_a 5.441
_cell_length_b 6.050
_cell_length_c 9.305
_cell_angle_alpha 108.24
_cell_angle_beta 92.67
_cell_angle_gamma 112.95
_space_group_name_H-M_alt 'P -1'
_space_group_IT_number 2
_space_group_name_Hall '-P 1'
loop_
_atom_site_label
_atom_site_type_symbol
_atom_site_fract_x
_atom_site_fract_y
_atom_site_fract_z
Ce1 Ce 0.114 0.265 0.259
Ce2 Ce 0.128 0.241 0.623
Ce3 Ce 0.354 0.749 0.061
Tc1 Tc 0.135 0.174 0.924
Hg1 Hg 0.412 0.812 0.584

***

# Ce3TcHg, relaxed, DFT PBE-GGA
# Fermi-level density of states in states/eV per cell: 20.89
# Total magnetic moment in μB/f.u.: 1.29
# Formation enthalpy at 0 K in meV per atom: -92
# ΔE to the lowest computed polymorph in eV/atom: 0.0478
# E_tot in eV per atom: -5.786
data_Ce3TcHg
_cell_length_a 5.137
_cell_length_b 6.258
_cell_length_c 7.675
_cell_angle_alpha 94.39
_cell_angle_beta 91.19
_cell_angle_gamma 90.24
_space_group_name_H-M_alt 'P -1'
_space_group_IT_number 2
_space_group_name_Hall '-P 1'
loop_
_atom_site_label
_atom_site_type_symbol
_atom_site_fract_x
_atom_site_fract_y
_atom_site_fract_z
Ce1 Ce 0.237 0.254 0.447
Ce2 Ce 0.240 0.539 0.874
Ce3 Ce 0.250 0.109 0.019
Tc1 Tc 0.199 0.827 0.672
Hg1 Hg 0.262 0.743 0.284